Entry 1:
Here is crystalline Sm2TeN at its relaxed geometry from Alexandria. Energies are from PBE.

## Properties
calculated density	7335	kg/m3
calculated total energy	-104.6	eV per cell
D(E_F)	7.45	states/eV per cell
spin magnetization	0.0	μB/cell
ΔE to the lowest computed polymorph	0.053	eV per atom

a b c (Å): 6.8938 7.0724 8.2181
angles (deg): 90.00 88.60 90.00
Fractional positions:
Te 0.8011 0.6042 0.8735
Sm 0.4574 0.3205 0.7909
Sm 0.3580 0.1654 0.4152
Te 0.1989 0.3958 0.1265
Sm 0.1420 0.6654 0.5848
Sm 0.6420 0.8346 0.5848
Sm 0.9574 0.1795 0.7909
Sm 0.8580 0.3346 0.4152
Te 0.3011 0.8958 0.8735
N 0.1600 0.3317 0.6102
Te 0.6989 0.1042 0.1265
Sm 0.5426 0.6795 0.2091
Sm 0.0426 0.8205 0.2091
N 0.8400 0.6683 0.3898
N 0.6600 0.1683 0.6102
N 0.3400 0.8317 0.3898

Entry 2:
Here is crystalline Sm12Te3N5 at its relaxed geometry from Alexandria. Energies are from PBE.

## Properties
calculated density	7339	kg/m3
calculated total energy	-510.3	eV per cell
D(E_F)	69.62	states/eV per cell
spin magnetization	0.0	μB/cell

a b c (Å): 13.8447 13.8447 13.8447
angles (deg): 109.47 109.47 109.47
Fractional positions:
N 0.1250 0.3750 0.2500
Te 0.3750 0.6250 0.2500
N 0.0000 0.0000 0.5000
Sm 0.4899 0.6863 0.0982
Sm 0.0882 0.9018 0.3917
Sm 0.8917 0.3035 0.4899
N 0.3750 0.2500 0.1250
Sm 0.6863 0.1965 0.5882
N 0.5000 0.5000 0.5000
N 0.0000 0.5000 0.0000
N 0.2500 0.3750 0.6250
Sm 0.1083 0.4118 0.0982
Te 0.7500 0.8750 0.6250
N 0.8750 0.6250 0.7500
Te 0.8750 0.1250 0.2500
N 0.2500 0.8750 0.1250
Sm 0.8035 0.4899 0.3917
Sm 0.4899 0.8035 0.8917
Sm 0.9899 0.3917 0.3035
Sm 0.3035 0.8917 0.9899
Sm 0.9118 0.8137 0.8035
Sm 0.8035 0.3137 0.9118
Sm 0.1863 0.0882 0.6965
Sm 0.3917 0.9899 0.8035
N 0.1250 0.7500 0.3750
Sm 0.8137 0.9118 0.3035
Sm 0.0982 0.9118 0.1083
Te 0.8750 0.7500 0.1250
Te 0.2500 0.1250 0.3750
Sm 0.3917 0.4018 0.0882
Sm 0.0101 0.4018 0.8137
Sm 0.1965 0.6863 0.0882
Sm 0.4118 0.1083 0.5982
Sm 0.4018 0.3917 0.5882
N 0.0000 0.0000 0.0000
Sm 0.5101 0.1965 0.1083
Sm 0.8917 0.5882 0.9018
Sm 0.3137 0.5101 0.4018
Sm 0.8137 0.9018 0.0101
N 0.5000 0.5000 0.0000
Sm 0.0882 0.1863 0.1965
Te 0.6250 0.2500 0.3750
Te 0.1250 0.2500 0.8750
N 0.5000 0.0000 0.0000
Sm 0.3035 0.4118 0.8137
Te 0.6250 0.3750 0.7500
N 0.8750 0.2500 0.6250
N 0.7500 0.6250 0.3750
Sm 0.9899 0.5982 0.1863
Te 0.1250 0.8750 0.7500
N 0.6250 0.7500 0.8750
N 0.5000 0.0000 0.5000
Sm 0.1965 0.5101 0.6083
Sm 0.5882 0.8917 0.4018
Sm 0.9018 0.8137 0.5101
Sm 0.9118 0.0982 0.6083
Sm 0.3137 0.8035 0.4118
Sm 0.5982 0.9899 0.6863
Sm 0.0982 0.1863 0.4899
Sm 0.6083 0.5982 0.9118
Sm 0.1863 0.0982 0.9899
N 0.7500 0.1250 0.8750
Sm 0.0101 0.6083 0.6965
Te 0.2500 0.6250 0.8750
Sm 0.9018 0.0882 0.8917
Sm 0.6083 0.0101 0.1965
Sm 0.1083 0.6965 0.5101
Te 0.3750 0.7500 0.6250
Sm 0.4018 0.0101 0.3137
N 0.0000 0.5000 0.5000
Sm 0.5982 0.6083 0.4118
Sm 0.6863 0.4899 0.5982
N 0.6250 0.8750 0.2500
Te 0.7500 0.3750 0.1250
Sm 0.6965 0.5882 0.1863
Sm 0.5882 0.6965 0.6863
Sm 0.5101 0.3137 0.9018
Sm 0.4118 0.3035 0.3137
N 0.3750 0.1250 0.7500
Sm 0.6965 0.1083 0.0101

Entry 3:
Here is crystalline Sm2Te2N at its relaxed geometry from Alexandria. Energies are from PBE.

## Properties
calculated density	6817	kg/m3
calculated total energy	-61.0	eV per cell
D(E_F)	5.48	states/eV per cell
spin magnetization	0.0	μB/cell

a b c (Å): 6.1219 7.5755 7.7175
angles (deg): 119.39 113.37 90.00
Fractional positions:
Sm 0.9107 0.2329 0.8213
Sm 0.0893 0.7671 0.1787
Te 0.6457 0.0361 0.2913
Sm 0.4107 0.5884 0.8213
Te 0.1457 0.2552 0.2913
Sm 0.5893 0.4116 0.1787
N 0.2500 0.5000 0.0000
Te 0.8543 0.7448 0.7087
Te 0.3543 0.9639 0.7087
N 0.7500 0.5000 0.0000

Entry 4:
Here is crystalline Sm3Te3N at its relaxed geometry from Alexandria. Energies are from PBE.

## Properties
calculated density	6812	kg/m3
calculated total energy	-84.5	eV per cell
spin magnetization	0.0	μB/cell
ΔE to the lowest computed polymorph	0.000	eV per atom

a b c (Å): 7.7389 7.7389 7.6938
angles (deg): 97.57 97.57 112.56
Fractional positions:
Sm 0.8451 0.5617 0.7197
Sm 0.9032 0.9032 0.1652
Sm 0.5617 0.8451 0.7197
N 0.8320 0.8320 0.8561
Sm 0.4383 0.1549 0.2803
Te 0.2605 0.7395 0.0000
Te 0.8353 0.1647 0.5000
Te 0.3849 0.3849 0.6495
Sm 0.0968 0.0968 0.8348
Te 0.6151 0.6151 0.3505
Te 0.1647 0.8353 0.5000
Te 0.7395 0.2605 0.0000
N 0.1680 0.1680 0.1439
Sm 0.1549 0.4383 0.2803

Entry 5:
Here is crystalline Sm3TeN2 at its relaxed geometry from Alexandria. Energies are from PBE.

## Properties
calculated density	7493	kg/m3
calculated total energy	-83.6	eV per cell
D(E_F)	6.82	states/eV per cell
spin magnetization	0.0	μB/cell
ΔE to the lowest computed polymorph	0.000	eV per atom

a b c (Å): 7.8593 6.8359 8.0716
angles (deg): 50.56 60.87 54.91
Fractional positions:
N 0.4085 0.4875 0.3594
Sm 0.5000 0.0000 0.5000
Sm 0.9218 0.1354 0.7713
Sm 0.3286 0.3646 0.7287
Sm 0.5000 0.5000 0.0000
N 0.5915 0.5125 0.6406
N 0.7554 0.0125 0.1406
Sm 0.6714 0.6354 0.2713
N 0.2446 0.9875 0.8594
Te 0.1584 0.2500 0.2500
Sm 0.0782 0.8646 0.2287
Te 0.8416 0.7500 0.7500

Entry 6:
Here is crystalline Sm3Te3N at its relaxed geometry from Alexandria. Energies are from PBE.

## Properties
calculated density	6827	kg/m3
calculated total energy	-168.9	eV per cell
spin magnetization	0.0	μB/cell
ΔE to the lowest computed polymorph	0.004	eV per atom

a b c (Å): 4.2384 13.8012 14.1023
angles (deg): 90.00 90.00 90.00
Fractional positions:
Sm 0.2500 0.0384 0.1588
Te 0.2500 0.8747 0.0015
Te 0.7500 0.2210 0.6802
Sm 0.7500 0.8092 0.1474
N 0.7500 0.4643 0.2942
Sm 0.7500 0.4453 0.1364
Sm 0.2500 0.1908 0.8526
Sm 0.7500 0.9453 0.3636
Te 0.2500 0.6058 0.1052
Sm 0.2500 0.0547 0.6364
Sm 0.7500 0.3092 0.3526
Sm 0.2500 0.5547 0.8636
Te 0.7500 0.1253 0.9985
Sm 0.7500 0.4616 0.6588
Sm 0.7500 0.9616 0.8412
Sm 0.2500 0.6908 0.6474
Te 0.7500 0.7210 0.8198
Te 0.2500 0.2790 0.1802
N 0.7500 0.9643 0.2058
Te 0.2500 0.1058 0.3948
N 0.2500 0.5357 0.7058
Te 0.7500 0.6253 0.5015
Te 0.7500 0.8942 0.6052
Te 0.2500 0.3747 0.4985
N 0.2500 0.0357 0.7942
Te 0.2500 0.7790 0.3199
Sm 0.2500 0.5384 0.3412
Te 0.7500 0.3942 0.8948

Entry 7:
Here is crystalline Sm3Te2N2 at its relaxed geometry from Alexandria. Energies are from PBE.

## Properties
calculated density	7005	kg/m3
calculated total energy	-92.0	eV per cell
D(E_F)	9.16	states/eV per cell
spin magnetization	0.0	μB/cell
ΔE to the lowest computed polymorph	0.048	eV per atom

a b c (Å): 7.7398 7.3987 6.7015
angles (deg): 90.00 65.11 90.00
Fractional positions:
Te 0.0794 0.3743 0.1743
Sm 0.2047 0.8634 0.4063
N 0.9253 0.8908 0.3506
N 0.0747 0.1092 0.6494
Sm 0.7953 0.1366 0.5937
Te 0.5794 0.1257 0.1743
N 0.5747 0.3908 0.6494
Te 0.9206 0.6257 0.8257
Sm 0.2953 0.3634 0.5937
Sm 0.5000 0.5000 0.0000
Te 0.4206 0.8743 0.8257
Sm 0.0000 0.0000 0.0000
Sm 0.7047 0.6366 0.4063
N 0.4253 0.6092 0.3506

Entry 8:
Here is crystalline Sm3Te2N2 at its relaxed geometry from Alexandria. Energies are from PBE.

## Properties
calculated density	6990	kg/m3
calculated total energy	-46.3	eV per cell
D(E_F)	4.71	states/eV per cell
spin magnetization	0.0	μB/cell
ΔE to the lowest computed polymorph	0.000	eV per atom

a b c (Å): 3.9981 6.8002 7.3919
angles (deg): 67.35 74.31 72.90
Fractional positions:
N 0.8024 0.3200 0.0753
N 0.1976 0.6800 0.9247
Te 0.5736 0.2071 0.6456
Sm 0.8007 0.6146 0.7839
Sm 0.0000 0.0000 0.0000
Te 0.4264 0.7929 0.3544
Sm 0.1993 0.3854 0.2161

Entry 9:
Here is crystalline Sm3TeN2 at its relaxed geometry from Alexandria. Energies are from PBE.

## Properties
calculated density	7933	kg/m3
calculated total energy	-83.0	eV per cell
D(E_F)	5.84	states/eV per cell
spin magnetization	1.3	μB/cell
ΔE to the lowest computed polymorph	0.054	eV per atom

a b c (Å): 3.6212 6.4570 10.8624
angles (deg): 90.00 90.00 90.00
Last column: magnetic moment on the atom in μB.
Fractional positions:
N 0.0000 0.0131 0.2401  -0.01
Sm 0.5000 0.1246 0.1088  0.12
Sm 0.5000 0.6246 0.8912  0.12
N 0.0000 0.5131 0.7599  -0.01
Te 0.0000 0.5219 0.1316  -0.01
Te 0.0000 0.0219 0.8684  -0.01
Sm 0.0000 0.2439 0.4095  0.09
Sm 0.5000 0.2810 0.6719  0.13
Sm 0.0000 0.7439 0.5905  0.09
N 0.5000 0.0168 0.5055  -0.01
Sm 0.5000 0.7810 0.3281  0.13
N 0.5000 0.5168 0.4945  -0.01

Entry 10:
Here is crystalline SmThTe2N at its relaxed geometry from Alexandria. Energies are from PBE.

## Properties
calculated density	7432	kg/m3
calculated total energy	-68.9	eV per cell
D(E_F)	2.10	states/eV per cell
spin magnetization	0.0	μB/cell

a b c (Å): 4.2409 4.2409 16.1894
angles (deg): 90.00 90.00 90.00
Fractional positions:
N 0.0000 0.0000 0.5000
Th 0.5000 0.0000 0.5676
Sm 0.0000 0.5000 0.8677
Sm 0.5000 0.0000 0.1323
Te 0.0000 0.5000 0.6865
Th 0.0000 0.5000 0.4324
N 0.5000 0.5000 0.5000
Te 0.0000 0.5000 0.0828
Te 0.5000 0.0000 0.3135
Te 0.5000 0.0000 0.9172

Entry 11:
Here is crystalline Sm2ThTe2N2 at its relaxed geometry from Alexandria. Energies are from PBE.

## Properties
calculated density	7908	kg/m3
calculated total energy	-48.5	eV per cell
D(E_F)	0.86	states/eV per cell
spin magnetization	0.0	μB/cell

a b c (Å): 4.5782 4.5782 8.7927
angles (deg): 105.09 105.09 90.00
Fractional positions:
Te 0.8097 0.8097 0.6195
Sm 0.6075 0.6075 0.2150
Te 0.1903 0.1903 0.3805
N 0.0000 0.5000 0.0000
Sm 0.3925 0.3925 0.7850
N 0.5000 0.0000 0.0000
Th 0.0000 0.0000 0.0000

Entry 12:
Here is crystalline Sm4TlTeN at its relaxed geometry from Alexandria. Energies are from PBE.

## Properties
calculated density	8318	kg/m3
calculated total energy	-77.8	eV per cell
D(E_F)	11.65	states/eV per cell
spin magnetization	0.0	μB/cell

a b c (Å): 6.8208 6.8424 8.7934
angles (deg): 90.00 112.82 90.00
Fractional positions:
N 0.7556 0.2500 0.5112
Sm 0.5000 0.5000 0.5000
Sm 0.4095 0.7500 0.8190
Tl 0.1080 0.2500 0.2161
Sm 0.5000 0.0000 0.5000
Sm 0.0000 0.0000 0.5000
Sm 0.5905 0.2500 0.1810
Tl 0.8920 0.7500 0.7839
Sm 0.0888 0.7500 0.1777
N 0.2444 0.7500 0.4888
Te 0.3910 0.2500 0.7820
Sm 0.0000 0.5000 0.5000
Te 0.6090 0.7500 0.2180
Sm 0.9112 0.2500 0.8223

| no. | uncorrected formation energy (meV per atom) |
| --- | --- |
| 1 | -1311 |
| 2 | -995 |
| 3 | -1294 |
| 4 | -1477 |
| 5 | -1312 |
| 6 | -1473 |
| 7 | -1271 |
| 8 | -1319 |
| 9 | -1258 |
| 10 | -1539 |
| 11 | -1246 |
| 12 | -884 |